Entry from Alexandria via LeMat-Bulk: a PBEsol-optimized structure of YZnO2F (SCAN).

Summary:
spin magnetization = 0.00 μB/f.u.
density of states at the Fermi level = 0.0142 states/eV per atom
final energy = -13.984 eV per atom
space-group type = No. 123
formation energy without anion corrections = -12.56 eV per formula unit

Cell lengths 3.9411, 3.9411, 3.7679 Å; angles 90.00, 90.00, 90.00 degrees
With the nearest neighbours (Å) after each atom.
Fractional coordinates of all 5 atoms:
1 Y 0.0000 0.0000 0.0000  8 O 2.73, 4 F 2.79
2 Zn 0.5000 0.5000 0.5000  2 F 1.88, 4 O 1.97
3 O 0.0000 0.5000 0.5000  2 Zn 1.97
4 O 0.5000 0.0000 0.5000  2 Zn 1.97
5 F 0.5000 0.5000 0.0000  2 Zn 1.88


Entry from Alexandria via LeMat-Bulk: a PBEsol-optimized structure of Li7La3Zr2O12 (SCAN).

Summary:
spin magnetization = 0.00 μB/f.u.
density of states at the Fermi level = 0.0000 states/eV per atom
final energy = -14.834 eV per atom
space-group type = No. 142
formation energy without anion corrections = -73.80 eV per formula unit

Cell lengths 11.1334, 11.1334, 11.1334 Å; angles 108.42, 108.42, 111.59 degrees
With the nearest neighbours (Å) after each atom.
Fractional coordinates of all 96 atoms:
1 Li 0.0556 0.8056 0.6112  2 O 1.94
2 Li 0.1065 0.2741 0.9926  3 O 1.86-2.04
3 Li 0.1139 0.1065 0.3324  3 O 1.86-2.04
4 Li 0.1250 0.8750 0.2500  4 O 1.89
5 Li 0.1944 0.3056 0.2500  2 O 1.94
6 Li 0.2185 0.8861 0.4926  3 O 1.86-2.04
7 Li 0.2259 0.3935 0.5074  3 O 1.86-2.04
8 Li 0.2741 0.7815 0.1676  3 O 1.86-2.04
9 Li 0.2815 0.7741 0.6676  3 O 1.86-2.04
10 Li 0.3056 0.5556 0.1112  2 O 1.94
11 Li 0.3750 0.6250 0.7500  4 O 1.89
12 Li 0.3861 0.7185 0.9926  3 O 1.86-2.04
13 Li 0.3935 0.3861 0.1676  3 O 1.86-2.04
14 Li 0.4444 0.0556 0.7500  2 O 1.94
15 Li 0.5556 0.9444 0.2500  2 O 1.94
16 Li 0.6065 0.6139 0.8324  3 O 1.86-2.04
17 Li 0.6139 0.2815 0.0074  3 O 1.86-2.04
18 Li 0.6250 0.3750 0.2500  4 O 1.89
19 Li 0.6944 0.4444 0.8888  2 O 1.94
20 Li 0.7185 0.2259 0.3324  3 O 1.86-2.04
21 Li 0.7259 0.2185 0.8324  3 O 1.86-2.04
22 Li 0.7741 0.6065 0.4926  3 O 1.86-2.04
23 Li 0.7815 0.1139 0.5074  3 O 1.86-2.04
24 Li 0.8056 0.6944 0.7500  2 O 1.94
25 Li 0.8750 0.1250 0.7500  4 O 1.89
26 Li 0.8861 0.8935 0.6676  3 O 1.86-2.04
27 Li 0.8935 0.7259 0.0074  3 O 1.86-2.04
28 Li 0.9444 0.1944 0.3888  2 O 1.94
29 La 0.1222 0.7500 0.8722  8 O 2.44-2.59
30 La 0.1250 0.3750 0.7500  8 O 2.51-2.60
31 La 0.2500 0.1222 0.8722  8 O 2.44-2.59
32 La 0.2500 0.6222 0.3722  8 O 2.44-2.59
33 La 0.3750 0.1250 0.2500  8 O 2.51-2.60
34 La 0.3778 0.2500 0.6278  8 O 2.44-2.59
35 La 0.6222 0.7500 0.3722  8 O 2.44-2.59
36 La 0.6250 0.8750 0.7500  8 O 2.51-2.60
37 La 0.7500 0.3778 0.6278  8 O 2.44-2.59
38 La 0.7500 0.8778 0.1278  8 O 2.44-2.59
39 La 0.8750 0.6250 0.2500  8 O 2.51-2.60
40 La 0.8778 0.2500 0.1278  8 O 2.44-2.59
41 Zr 0.0000 0.0000 0.0000  6 O 2.10
42 Zr 0.0000 0.0000 0.5000  6 O 2.10
43 Zr 0.0000 0.5000 0.0000  6 O 2.10
44 Zr 0.0000 0.5000 0.5000  6 O 2.10
45 Zr 0.5000 0.0000 0.0000  6 O 2.10
46 Zr 0.5000 0.0000 0.5000  6 O 2.10
47 Zr 0.5000 0.5000 0.0000  6 O 2.10
48 Zr 0.5000 0.5000 0.5000  6 O 2.10
49 O 0.0208 0.1130 0.7029  1 Li 1.89, 1 Zr 2.10
50 O 0.0262 0.9032 0.8218  1 Li 1.86
51 O 0.0814 0.4032 0.3770  1 Li 1.86
52 O 0.0898 0.6821 0.2029  1 Li 1.89, 1 Zr 2.10
53 O 0.0968 0.4186 0.1230  1 Li 1.86
54 O 0.0980 0.6883 0.4790  3 Li 1.94-2.04, 1 Zr 2.10
55 O 0.1130 0.9102 0.0923  1 Li 1.89, 1 Zr 2.10
56 O 0.1190 0.2093 0.5210  3 Li 1.94-2.04, 1 Zr 2.10
57 O 0.1821 0.5898 0.7029  1 Li 1.89, 1 Zr 2.10
58 O 0.1883 0.5980 0.9790  3 Li 1.94-2.04, 1 Zr 2.10
59 O 0.2044 0.0262 0.6230  1 Li 1.86
60 O 0.2093 0.1883 0.0903  3 Li 1.94-2.04, 1 Zr 2.10
61 O 0.2907 0.3810 0.9790  3 Li 1.94-2.04, 1 Zr 2.10
62 O 0.2956 0.9186 0.8218  1 Li 1.86
63 O 0.3117 0.2907 0.4097  3 Li 1.94-2.04, 1 Zr 2.10
64 O 0.3179 0.0208 0.4077  1 Li 1.89, 1 Zr 2.10
65 O 0.3810 0.9020 0.0903  3 Li 1.94-2.04, 1 Zr 2.10
66 O 0.3870 0.4792 0.7971  1 Li 1.89, 1 Zr 2.10
67 O 0.4020 0.8810 0.5903  3 Li 1.94-2.04, 1 Zr 2.10
68 O 0.4032 0.5262 0.3218  1 Li 1.86
69 O 0.4102 0.6130 0.5923  1 Li 1.89, 1 Zr 2.10
70 O 0.4186 0.7956 0.3218  1 Li 1.86
71 O 0.4738 0.2956 0.8770  1 Li 1.86
72 O 0.4792 0.1821 0.0923  1 Li 1.89, 1 Zr 2.10
73 O 0.5208 0.8179 0.9077  1 Li 1.89, 1 Zr 2.10
74 O 0.5262 0.7044 0.1230  1 Li 1.86
75 O 0.5814 0.2044 0.6782  1 Li 1.86
76 O 0.5898 0.3870 0.4077  1 Li 1.89, 1 Zr 2.10
77 O 0.5968 0.4738 0.6782  1 Li 1.86
78 O 0.5980 0.1190 0.4097  3 Li 1.94-2.04, 1 Zr 2.10
79 O 0.6130 0.5208 0.2029  1 Li 1.89, 1 Zr 2.10
80 O 0.6190 0.0980 0.9097  3 Li 1.94-2.04, 1 Zr 2.10
81 O 0.6821 0.9792 0.5923  1 Li 1.89, 1 Zr 2.10
82 O 0.6883 0.7093 0.5903  3 Li 1.94-2.04, 1 Zr 2.10
83 O 0.7044 0.0814 0.1782  1 Li 1.86
84 O 0.7093 0.6190 0.0210  3 Li 1.94-2.04, 1 Zr 2.10
85 O 0.7907 0.8117 0.9097  3 Li 1.94-2.04, 1 Zr 2.10
86 O 0.7956 0.9738 0.3770  1 Li 1.86
87 O 0.8117 0.4020 0.0210  3 Li 1.94-2.04, 1 Zr 2.10
88 O 0.8179 0.4102 0.2971  1 Li 1.89, 1 Zr 2.10
89 O 0.8810 0.7907 0.4790  3 Li 1.94-2.04, 1 Zr 2.10
90 O 0.8870 0.0898 0.9077  1 Li 1.89, 1 Zr 2.10
91 O 0.9020 0.3117 0.5210  3 Li 1.94-2.04, 1 Zr 2.10
92 O 0.9032 0.5814 0.8770  1 Li 1.86
93 O 0.9102 0.3179 0.7971  1 Li 1.89, 1 Zr 2.10
94 O 0.9186 0.5968 0.6230  1 Li 1.86
95 O 0.9738 0.0968 0.1782  1 Li 1.86
96 O 0.9792 0.8870 0.2971  1 Li 1.89, 1 Zr 2.10